Record 1
A plane-wave DFT calculation with PBE was carried out for an optimized crystal structure of ErUPb2O8.

Unit cell a=5.1739 b=5.1739 c=6.9245 alpha=90.00 beta=90.00 gamma=90.38
Fractional positions:
Er (0.0000, 0.0000, 0.0000)
U (0.0000, 0.0000, 0.5000)
Pb (0.5000, 0.5000, 0.2468)
Pb (0.5000, 0.5000, 0.7532)
O (0.1797, 0.8203, 0.2695)
O (0.1797, 0.8203, 0.7305)
O (0.2972, 0.2972, 0.5000)
O (0.3059, 0.3059, 0.0000)
O (0.6941, 0.6941, 0.0000)
O (0.7028, 0.7028, 0.5000)
O (0.8203, 0.1797, 0.2695)
O (0.8203, 0.1797, 0.7305)

Values from the calculation:
- energy relative to the elements, uncorrected (eV/atom) = -2.19
- V (Å³/atom) = 15.45
- total DFT energy (no corrections) (eV per atom) = -7.431
- D(E_F) (states/eV/cell) = 2.8

***

Record 2
A plane-wave DFT calculation with PBE was carried out for an optimized crystal structure of PmDyPb.

Unit cell a=5.2529 b=5.2529 c=5.2529 alpha=60.00 beta=60.00 gamma=60.00
Fractional positions:
Pm (0.0000, 0.0000, 0.0000)
Dy (0.5000, 0.5000, 0.5000)
Pb (0.7500, 0.7500, 0.7500)

Values from the calculation:
- offset from the most stable computed form (eV/atom) = 0.220
- V (Å³/atom) = 34.16
- total DFT energy (no corrections) (eV per atom) = -4.579
- D(E_F) (states/eV/cell) = 3.8

***

Question: Look up the D(E_F) of the first one.
Answer: 2.8 states/eV/cell

***

Question: Among the records above, which one has the lowest V?
Answer: ErUPb2O8

***

Question: Which of these has the lowest V?
Answer: ErUPb2O8